1.
VASP calculation (PBE) on La2Mn after structural relaxation.

Geometry as extended XYZ:
```
6
Lattice="-4.351 2.592 1.444 1.517 -4.286 2.659 3.964 4.170 4.460" Properties=species:S:1:pos:R:3 pbc="T T T"
La 1.982 2.085 2.230
La 0.552 -0.951 3.369
Mn -1.404 1.342 2.964
La 0.578 3.427 5.194
La 0.000 0.000 0.000
Mn 2.534 1.134 5.599
```

Summary:
- ΔE_f: 0.75 eV/f.u.
- Calculated volume: 174.8 Å³ per cell
- Space-group type: No. 194

---

2.
VASP calculation (PBE) on ZrTaNb2 after structural relaxation.

Geometry as extended XYZ:
```
4
Lattice="3.349 0.000 0.000 0.000 3.349 0.000 0.000 0.000 6.915" Properties=species:S:1:pos:R:3 pbc="T T T"
Nb 0.000 0.000 1.583
Zr 1.674 1.674 3.458
Ta 1.674 1.674 0.000
Nb 0.000 0.000 5.332
```

Summary:
- ΔE_f: 0.18 eV/f.u.
- Calculated volume: 77.5 Å³ per cell
- Space-group type: No. 123

---

Number 1: calculated density 6320 kg/m3. Number 2: calculated density 9808 kg/m3.